# 1
The following is a PBE-GGA calculation of a geometry-optimized Re3AgP structure, from the Alexandria database.

Calculated values
Calculated density: 10.67 Mg/m³
E_tot: -5.785 eV per atom
D(E_F): 1.26 states/eV/atom
E_form: 3.336 eV per atom
Space group: Pm-3m, No. 221
E above lowest polymorph: 2.332 eV per atom
Magnetic moment: 0.78 μB/atom

```
Re3AgP
1.0
4.7708 0.0000 0.0000
0.0000 4.7708 0.0000
0.0000 0.0000 4.7708
Re Ag P
3 1 1
Direct
0.0000 0.0000 0.5000
0.0000 0.5000 0.0000
0.5000 0.0000 0.0000
0.0000 0.0000 0.0000
0.5000 0.5000 0.5000
```



# 2
The following is a PBE-GGA calculation of a geometry-optimized Ni2Ge2Pt structure, from the Alexandria database.

Calculated values
Calculated density: 11.19 Mg/m³
E_tot: -5.566 eV per atom
D(E_F): 0.44 states/eV/atom
E_form: -0.198 eV per atom
Space group: P4/mbm, No. 127
E above lowest polymorph: 0.059 eV per atom
Magnetic moment: 0.00 μB/atom

```
Ni2Ge2Pt
1.0
6.8758 0.0000 0.0000
0.0000 6.8758 0.0000
0.0000 0.0000 2.8725
Ni Ge Pt
4 4 2
Direct
0.1303 0.3697 0.0000
0.3697 0.8697 0.0000
0.6303 0.1303 0.0000
0.8697 0.6303 0.0000
0.1692 0.6692 0.5000
0.3308 0.1692 0.5000
0.6692 0.8308 0.5000
0.8308 0.3308 0.5000
0.0000 0.0000 0.0000
0.5000 0.5000 0.0000
```



# 3
The following is a PBE-GGA calculation of a geometry-optimized Pm2Pr3DyHo6 structure, from the Alexandria database.

Calculated values
Calculated density: 7.89 Mg/m³
E_tot: -4.644 eV per atom
D(E_F): 1.15 states/eV/atom
E_form: 0.015 eV per atom
Space group: C2/m, No. 12
Magnetic moment: 0.00 μB/atom

```
Pm2Pr3DyHo6
1.0
3.1197 -5.4024 0.0000
3.1197 5.4024 0.0000
-2.0727 0.0000 11.6403
Pm Pr Dy Ho
2 3 1 6
Direct
0.1666 0.8334 0.0000
0.8334 0.1666 0.0000
0.0000 0.0000 0.5000
0.3333 0.6667 0.5000
0.6667 0.3333 0.5000
0.5000 0.5000 0.0000
0.0843 0.4174 0.7524
0.2498 0.2498 0.2477
0.4174 0.0843 0.7524
0.5826 0.9157 0.2476
0.7502 0.7502 0.7523
0.9157 0.5826 0.2476
```



# 4
The following is a PBE-GGA calculation of a geometry-optimized CrHgW2 structure, from the Alexandria database.

Calculated values
Calculated density: 15.41 Mg/m³
E_tot: -8.362 eV per atom
D(E_F): 0.49 states/eV/atom
E_form: 0.596 eV per atom
Space group: R3m, No. 160
Magnetic moment: 0.00 μB/atom

```
CrHgW2
1.0
1.4717 0.8497 8.9073
-1.4717 0.8497 8.9073
0.0000 -1.6994 8.9073
Cr Hg W
1 1 2
Direct
0.0000 0.0000 0.0000
0.7544 0.7544 0.7544
0.2664 0.2664 0.2664
0.5151 0.5151 0.5151
```



# 5
The following is a PBE-GGA calculation of a geometry-optimized LaHfInRh2 structure, from the Alexandria database.

Calculated values
Calculated density: 8.28 Mg/m³
E_tot: -6.374 eV per atom
D(E_F): 1.02 states/eV/atom
E_form: 0.090 eV per atom
Space group: P4/mmm, No. 123
Magnetic moment: 0.00 μB/atom

```
LaHfInRh2
1.0
4.8397 0.0000 0.0000
0.0000 4.8397 0.0000
0.0000 0.0000 5.4635
La Hf In Rh
1 1 1 2
Direct
0.0000 0.0000 0.0000
0.5000 0.5000 0.5000
0.5000 0.5000 0.0000
0.0000 0.5000 0.5000
0.5000 0.0000 0.5000
```



# 6
The following is a PBE-GGA calculation of a geometry-optimized BaSbTe2Rh structure, from the Alexandria database.

Calculated values
Calculated density: 4.01 Mg/m³
E_tot: -2.676 eV per atom
D(E_F): 2.54 states/eV/atom
Space group: P4/mmm, No. 123
E above lowest polymorph: 1.819 eV per atom
Formation energy (no corrections): 29.057 kcal/mol of atoms
Magnetic moment: 0.53 μB/atom

```
BaSbTe2Rh
1.0
6.3716 0.0000 0.0000
0.0000 6.3716 0.0000
0.0000 0.0000 6.2994
Ba Sb Te Rh
1 1 2 1
Direct
0.0000 0.0000 0.0000
0.0000 0.0000 0.5000
0.0000 0.5000 0.0000
0.5000 0.0000 0.0000
0.5000 0.5000 0.5000
```